This record from Alexandria via LeMat-Bulk describes a relaxed structure of BaAc2Pt6. The functional is PBE-GGA. Values from VASP.

**Magnetic moment**: 0.00 μB per atom
**Calculated formation energy**: -0.92 eV/atom

```
&SYSTEM
  ibrav = 0, nat = 9, ntyp = 3
/
ATOMIC_SPECIES
Pt 195.08 Pt.upf
Ba 137.33 Ba.upf
Ac 227.00 Ac.upf
CELL_PARAMETERS angstrom
-3.066 2.006 2.205
-4.221 0.766 -6.566
-0.899 -6.345 4.522
ATOMIC_POSITIONS angstrom
Pt -5.238 -4.832 1.259
Pt -2.948 1.260 -1.098
Pt -4.937 -2.706 -0.256
Pt -1.834 -1.123 2.618
Pt -2.131 -3.215 4.109
Pt -3.249 -0.866 0.418
Ba -0.899 -6.345 4.522
Ac -6.180 0.402 -0.664
Ac -2.006 -3.974 0.826
```

=====

This record from Alexandria via LeMat-Bulk describes a relaxed structure of BaAc4Pt2. The functional is PBE-GGA. Values from VASP.

**Magnetic moment**: 0.00 μB per atom
**Calculated formation energy**: -0.57 eV/atom

```
&SYSTEM
  ibrav = 0, nat = 7, ntyp = 3
/
ATOMIC_SPECIES
Ac 227.00 Ac.upf
Ba 137.33 Ba.upf
Pt 195.08 Pt.upf
CELL_PARAMETERS angstrom
4.419 0.000 -0.885
-0.366 7.340 -1.828
-0.160 -0.091 10.678
ATOMIC_POSITIONS angstrom
Ac 3.374 3.361 5.375
Ac 1.012 7.096 5.056
Ac 0.519 3.888 2.590
Ac 2.880 0.153 2.909
Ba 2.026 3.670 -1.356
Pt 0.926 1.721 4.627
Pt 2.966 5.529 3.338
```

=====

This record from Alexandria via LeMat-Bulk describes a relaxed structure of Ba7AcPt3. The functional is PBE-GGA. Values from VASP.

**Magnetic moment**: 0.00 μB per atom
**Calculated formation energy**: -0.58 eV/atom

```
&SYSTEM
  ibrav = 0, nat = 11, ntyp = 3
/
ATOMIC_SPECIES
Ac 227.00 Ac.upf
Ba 137.33 Ba.upf
Pt 195.08 Pt.upf
CELL_PARAMETERS angstrom
-6.815 -2.762 5.492
-8.262 -1.822 -3.499
-1.395 -8.510 1.659
ATOMIC_POSITIONS angstrom
Ac -11.430 -10.159 3.715
Ba -7.279 -9.526 5.481
Ba -9.892 -6.278 3.841
Ba -13.898 -7.233 2.124
Ba -7.997 -9.040 0.868
Ba -10.506 -5.875 -0.654
Ba -6.395 -4.861 1.023
Ba -3.755 -8.097 2.640
Pt -10.956 -8.179 1.563
Pt -3.450 -5.842 0.450
Pt -7.461 -6.762 -1.253
```

=====

This record from Alexandria via LeMat-Bulk describes a relaxed structure of Ba2AcPt2. The functional is PBE-GGA. Values from VASP.

**Magnetic moment**: 0.00 μB per atom
**Calculated formation energy**: -0.72 eV/atom

```
&SYSTEM
  ibrav = 0, nat = 10, ntyp = 3
/
ATOMIC_SPECIES
Pt 195.08 Pt.upf
Ba 137.33 Ba.upf
Ac 227.00 Ac.upf
CELL_PARAMETERS angstrom
1.133 -4.470 5.879
-0.048 -8.104 -1.404
7.172 -4.014 0.314
ATOMIC_POSITIONS angstrom
Pt 5.292 -6.587 3.468
Pt 1.262 -6.314 -0.296
Pt 6.996 -10.274 5.085
Pt 2.965 -10.001 1.321
Ba 5.302 -11.434 -0.219
Ba 7.650 -12.660 3.145
Ba 0.607 -3.929 1.644
Ba 2.955 -5.155 5.008
Ac 4.412 -9.412 3.864
Ac 3.845 -7.177 0.924
```

=====

This record from Alexandria via LeMat-Bulk describes a relaxed structure of BaAc3Pt4. The functional is PBE-GGA. Values from VASP.

**Magnetic moment**: 0.00 μB per atom
**Calculated formation energy**: -1.04 eV/atom

```
&SYSTEM
  ibrav = 0, nat = 8, ntyp = 3
/
ATOMIC_SPECIES
Pt 195.08 Pt.upf
Ba 137.33 Ba.upf
Ac 227.00 Ac.upf
CELL_PARAMETERS angstrom
4.411 -0.056 0.074
0.058 7.378 2.137
-0.122 0.412 7.670
ATOMIC_POSITIONS angstrom
Pt 4.392 1.796 2.602
Pt 4.365 5.884 7.353
Pt 2.219 5.661 3.623
Pt 2.127 2.074 6.258
Ba 2.112 4.074 8.775
Ac 2.144 0.179 3.872
Ac 4.379 3.840 4.977
Ac 4.288 0.356 7.744
```

=====

This record from Alexandria via LeMat-Bulk describes a relaxed structure of Ba5AcPt4. The functional is PBE-GGA. Values from VASP.

**Magnetic moment**: 0.00 μB per atom
**Calculated formation energy**: -0.75 eV/atom

```
&SYSTEM
  ibrav = 0, nat = 10, ntyp = 3
/
ATOMIC_SPECIES
Ba 137.33 Ba.upf
Pt 195.08 Pt.upf
Ac 227.00 Ac.upf
CELL_PARAMETERS angstrom
-0.934 1.942 -4.041
-8.407 1.626 2.725
5.464 7.115 4.751
ATOMIC_POSITIONS angstrom
Ba -1.095 3.123 1.754
Ba 1.607 6.603 0.206
Ba -4.671 1.784 -0.658
Ba -5.484 4.079 3.228
Ba -2.783 7.559 1.681
Pt 0.408 3.751 -0.887
Pt 2.519 9.423 1.350
Pt -6.397 1.259 2.084
Pt -4.286 6.931 4.322
Ac -0.467 0.971 -2.021
```